Here is an optimized crystal structure of NdCu8Au3 from Alexandria via LeMat-Bulk. Energies are from GGA-PBE.

Energy of formation = -117 meV/atom
Crystal system = trigonal
Total DFT energy (no corrections) = -4.06 eV/atom
N(E_F) = 5.34 states/eV per cell
Symmetry = P3m1 (156)
Density = 11.51 g/cm3

abc: 5.025 5.025 8.207
angles: 90.00 90.00 120.00
Fractional positions:
1 Nd 0.000 0.000 0.000
2 Cu 0.166 0.332 0.678
3 Cu 0.166 0.834 0.678
4 Cu 0.333 0.667 0.435
5 Cu 0.333 0.667 0.935
6 Cu 0.502 0.005 0.198
7 Cu 0.502 0.498 0.198
8 Cu 0.668 0.834 0.678
9 Cu 0.995 0.498 0.198
10 Au 0.000 0.000 0.381
11 Au 0.667 0.333 0.498
12 Au 0.667 0.333 0.862



Here is an optimized crystal structure of VZnReI2 from Alexandria via LeMat-Bulk. Energies are from GGA-PBE.

Crystal system = tetragonal
Total DFT energy (no corrections) = -3.61 eV/atom
N(E_F) = 5.22 states/eV per cell
Symmetry = P4/mmm (123)
Formation energy from raw total energies = 1.5799 eV/atom
Density = 6.48 g/cm3

abc: 5.277 5.277 5.117
angles: 90.00 90.00 90.00
Fractional positions:
1 V 0.000 0.000 0.000
2 Zn 0.000 0.000 0.500
3 Re 0.500 0.500 0.500
4 I 0.000 0.500 0.000
5 I 0.500 0.000 0.000



Here is an optimized crystal structure of Hg3BiBr from Alexandria via LeMat-Bulk. Energies are from GGA-PBE.

Crystal system = cubic
Total DFT energy (no corrections) = -1.33 eV/atom
N(E_F) = 0.98 states/eV per cell
Symmetry = Pm-3m (221)
Formation energy from raw total energies = -0.0394 eV/atom
Density = 7.38 g/cm3

abc: 5.853 5.853 5.853
angles: 90.00 90.00 90.00
Fractional positions:
1 Hg 0.000 0.000 0.500
2 Hg 0.000 0.500 0.000
3 Hg 0.500 0.000 0.000
4 Bi 0.000 0.000 0.000
5 Br 0.500 0.500 0.500